Record 1
CrFe2Ir after structural relaxation. Source: Alexandria, functional PBE.

For the energy relative to the elements, the calculation gives -0.065 eV/atom. The crystal system is tetragonal.

The structure belongs to space group I4/mmm (No. 139); the cell edges are 3.682, 3.682 and 7.433 Å and the angles 90.00°, 90.00° and 90.00°. The inequivalent atoms are Cr at (0.000, 0.000, 0.000), Fe at (0.000, 0.500, 0.250) and Ir at (0.000, 0.000, 0.500).

Record 2
MnGaGeSe2 after structural relaxation. Source: Alexandria, functional PBE.

The excess energy over the best structure of this formula in the dataset is 0.142 eV/atom. The crystal system is monoclinic. Its uncorrected formation energy is -0.124 eV per atom.

The structure belongs to space group Pm (No. 6); the cell edges are 4.771, 3.705 and 6.181 Å and the angles 90.00°, 92.96° and 90.00°. The inequivalent atoms are Mn at (0.000, 0.000, 0.000), Ga at (0.431, 0.000, 0.280), Ge at (0.573, 0.000, 0.704), Se at (0.199, 0.500, 0.747) and Se at (0.822, 0.500, 0.241).

Record 3
KCd2GaHg after structural relaxation. Source: Alexandria, functional PBE.

For the energy relative to the elements, the calculation gives -0.013 eV/atom. The crystal system is tetragonal.

The structure belongs to space group P4/mmm (No. 123); the cell edges are 5.424, 5.424 and 5.403 Å and the angles 90.00°, 90.00° and 90.00°. The inequivalent atoms are K at (0.000, 0.000, 0.000), Cd at (0.000, 0.500, 0.500), Ga at (0.500, 0.500, 0.500) and Hg at (0.500, 0.500, 0.000).

Record 4
VAsIrBr2 after structural relaxation. Source: Alexandria, functional PBE.

The excess energy over the best structure of this formula in the dataset is 0.000 eV/atom. The crystal system is tetragonal. Its uncorrected formation energy is 0.995 eV per atom.

The structure belongs to space group P4/mmm (No. 123); the cell edges are 5.288, 5.288 and 4.620 Å and the angles 90.00°, 90.00° and 90.00°. The inequivalent atoms are V at (0.000, 0.000, 0.000), As at (0.500, 0.500, 0.000), Ir at (0.500, 0.500, 0.500) and Br at (0.000, 0.500, 0.500).

Record 5
TiSe2I after structural relaxation. Source: Alexandria, functional PBE.

The excess energy over the best structure of this formula in the dataset is 1.007 eV/atom. The crystal system is trigonal. Its uncorrected formation energy is 0.250 eV per atom.

The structure belongs to space group R-3m (No. 166, hexagonal axes); the cell edges are 3.1913, 3.1913 and 40.8771 Å and the angles 90.00°, 90.00° and 120.00°. The inequivalent atoms are Ti at (0.0000, 0.0000, 0.0000), Se at (0.0000, 0.0000, 0.0595) and I at (0.0000, 0.0000, 0.5000).

Record 6
TmTh4Tc2 after structural relaxation. Source: Alexandria, functional PBE.

For the energy relative to the elements, the calculation gives -0.036 eV/atom. The crystal system is monoclinic.

The structure belongs to space group P2_1/m (No. 11); the cell edges are 7.872, 6.610 and 7.916 Å and the angles 90.00°, 112.34° and 90.00°. The inequivalent atoms are Tm at (0.167, 0.250, 0.031), Th at (0.025, 0.250, 0.383), Th at (0.226, 0.750, 0.315), Th at (0.405, 0.002, 0.758), Tc at (0.241, 0.750, 0.984) and Tc at (0.380, 0.250, 0.426).

Record 7
CaYHf2Hg after structural relaxation. Source: Alexandria, functional PBE.

For the energy relative to the elements, the calculation gives 1.489 eV/atom. The crystal system is tetragonal.

The structure belongs to space group P4/mmm (No. 123); the cell edges are 5.158, 5.158 and 5.367 Å and the angles 90.00°, 90.00° and 90.00°. The inequivalent atoms are Ca at (0.000, 0.000, 0.000), Y at (0.000, 0.000, 0.500), Hf at (0.000, 0.500, 0.000) and Hg at (0.500, 0.500, 0.500).

Record 8
KSe2N2 after structural relaxation. Source: Alexandria, functional PBE.

The excess energy over the best structure of this formula in the dataset is 2.195 eV/atom. The crystal system is tetragonal. Its uncorrected formation energy is 2.580 eV per atom.

The structure belongs to space group P4/mmm (No. 123); the cell edges are 4.507, 4.507 and 6.477 Å and the angles 90.00°, 90.00° and 90.00°. The inequivalent atoms are K at (0.000, 0.000, 0.000), Se at (0.000, 0.000, 0.500), Se at (0.500, 0.500, 0.500) and N at (0.000, 0.500, 0.000).

no.,DFT total energy (eV/atom)
1,-8.918
2,-4.881
3,-1.264
4,-4.200
5,-3.853
6,-7.877
7,-4.246
8,-2.364